Here is a relaxed GdHf31O64 crystal from OQMD. Energies are from GGA-PBE.

Calculated values
Calculated volume = 11.1 Å³ per atom
Total moment = 0.480 μB per cell
Energy above the most stable polymorph in this dataset = 26 meV/atom

Geometry as extended XYZ:
```
96
Lattice="10.063 0.000 0.000 -0.027 10.108 0.000 0.000 -0.012 10.454" Properties=species:S:1:pos:R:3 pbc="T T T"
O 3.963 5.040 7.913
O 3.975 2.513 7.745
O 0.916 4.498 4.629
O 3.959 0.001 2.709
Hf 7.617 8.844 8.973
O 3.946 7.576 7.755
O 0.885 9.561 9.849
Gd 7.586 6.301 1.424
O 3.537 10.099 5.313
O 5.975 4.548 9.883
O 5.940 4.517 4.637
O 8.593 2.486 10.368
O 6.610 9.561 7.230
O 8.978 7.568 7.725
O 0.907 1.974 5.828
O 0.871 7.006 0.624
O 3.546 7.579 5.146
O 3.555 5.043 5.313
O 9.005 5.045 7.892
O 3.567 2.517 10.360
O 1.604 1.974 3.220
O 1.622 4.480 1.996
Hf 4.913 8.851 6.367
O 3.973 2.516 2.529
Hf 9.972 1.251 9.320
Hf 2.597 1.264 6.695
O 1.583 7.038 8.424
O 3.564 0.016 0.074
Hf 2.600 3.791 3.746
O 8.683 4.967 10.450
O 5.940 1.985 5.840
O 5.896 7.022 5.876
Hf 4.892 6.338 9.314
O 3.571 2.521 5.139
O 5.769 7.113 0.554
Hf 7.636 3.765 3.753
O 0.955 4.500 9.851
Hf 7.614 8.852 3.752
O 3.970 -0.008 7.918
Hf 4.936 3.795 6.360
O 0.908 1.972 0.604
O 5.919 1.961 0.606
O 8.571 10.102 0.090
Hf 2.572 8.836 3.747
O 6.622 7.024 8.455
O 6.637 1.974 8.448
Hf 4.906 6.324 4.096
O 3.574 5.062 0.070
O 6.660 1.903 3.255
Hf 4.943 1.259 9.307
O 1.595 4.503 7.234
O 9.048 4.986 2.732
O 8.580 10.101 5.316
O 8.664 7.609 10.282
O 9.058 7.625 2.606
O 6.607 9.538 1.997
Hf 2.598 1.264 1.480
O 6.602 4.326 2.060
O 1.608 7.000 3.229
O 9.006 2.502 2.523
O 8.593 5.043 5.309
O 0.874 9.551 4.609
O 8.978 10.098 7.926
O 3.459 7.584 10.356
Hf 7.620 6.312 6.698
O 1.581 9.553 2.002
O 5.909 9.565 4.640
Hf 4.921 3.779 1.129
O 3.931 7.588 2.522
Hf 7.634 1.264 6.704
Hf 9.976 3.781 1.136
O 5.912 9.570 9.832
O 8.997 0.009 2.687
O 3.974 5.052 2.694
O 8.609 2.509 5.147
Hf 2.611 3.780 8.967
Hf 7.649 3.788 8.976
O 9.007 2.517 7.754
O 8.562 7.570 5.155
Hf 7.628 1.262 1.476
O 6.628 4.494 7.247
Hf 2.580 6.315 6.695
Hf 9.967 3.790 6.351
O 6.562 7.099 3.311
Hf 2.585 6.318 1.467
Hf 9.940 6.323 4.076
Hf 9.972 6.300 9.297
Hf 9.970 1.257 4.080
O 1.571 9.561 7.222
O 0.888 7.032 5.823
Hf 9.942 8.838 6.357
Hf 4.939 1.256 4.096
Hf 2.565 8.856 8.968
O 1.605 1.967 8.442
Hf 4.891 8.869 1.125
Hf 9.941 8.836 1.141
```